1.
AlCrFe6 at its PBEsol-relaxed geometry, computed with meta-GGA SCAN.

```
AlCrFe6
1.0
6.089 -0.002 0.000
-2.047 5.734 0.000
0.000 0.000 9.986
Cr Fe Al
4 24 4
Cartesian
2.021 2.866 2.459
2.021 2.866 7.528
4.051 1.435 0.000
-0.010 4.298 0.000
2.063 0.742 8.775
0.006 2.193 1.211
4.036 1.445 2.446
1.978 4.990 1.211
2.021 2.866 0.000
1.978 4.990 8.775
2.029 0.733 3.716
4.032 3.575 3.716
0.005 4.287 7.541
4.036 1.445 7.541
0.000 0.000 0.000
2.013 4.999 6.271
2.013 4.999 3.716
2.029 0.733 6.271
2.063 0.742 1.211
4.035 3.540 8.775
0.009 2.157 6.271
4.032 3.575 6.271
0.000 0.000 4.993
0.006 2.193 8.775
0.009 2.157 3.716
2.021 2.866 4.993
4.035 3.540 1.211
0.005 4.287 2.446
0.000 0.000 2.450
0.000 0.000 7.536
-0.016 4.302 4.993
4.058 1.430 4.993
```

Summary:
magnetization: 10.80 μB/f.u.
formation energy: -0.083 eV/atom
volume: 10.895 Å³ per atom
symmetry: Cmmm, No. 65
ρ: 7.89 g cm⁻³

---

2.
AlCrFe2 at its PBEsol-relaxed geometry, computed with meta-GGA SCAN.

```
AlCrFe2
1.0
-0.614 1.812 -1.588
-1.208 -2.039 -0.753
-5.978 1.891 4.469
Cr Fe Al
1 2 1
Cartesian
-0.911 -0.113 -1.170
-4.514 1.428 3.375
-1.464 0.463 1.094
-3.900 0.832 1.065
```

Summary:
magnetization: 3.90 μB/f.u.
formation energy: -0.028 eV/atom
volume: 11.407 Å³ per atom
symmetry: Cmmm, No. 65
ρ: 6.94 g cm⁻³